The following is a PBE-GGA calculation of a relaxed CeGa6Mo crystal, from the Alexandria database.

Summary:
DFT formation energy: -20 kJ per mole of atoms

Geometry as CIF:
```
data_CeGa6Mo
_chemical_formula_sum 'Ce2 Ga12 Mo2'
_cell_length_a 5.235
_cell_length_b 9.074
_cell_length_c 6.127
_cell_angle_alpha 90.00
_cell_angle_beta 90.10
_cell_angle_gamma 90.00
_symmetry_space_group_name_H-M 'C 1 2/m 1'
_symmetry_Int_Tables_number 12
loop_
_symmetry_equiv_pos_as_xyz
'x,y,z'
'-x,-y,-z'
'-x,y,-z'
'x,-y,z'
'x+1/2,y+1/2,z'
'-x+1/2,-y+1/2,-z'
'-x+1/2,y+1/2,-z'
'x+1/2,-y+1/2,z'
loop_
_atom_site_label
_atom_site_type_symbol
_atom_site_fract_x
_atom_site_fract_y
_atom_site_fract_z
Ce1 Ce 0.000 0.000 0.000
Ga1 Ga 0.000 0.500 0.277
Ga2 Ga 0.250 0.250 0.277
Mo1 Mo 0.000 0.000 0.500
```

The following is a PBE-GGA calculation of a relaxed VB6N6 crystal, from the Alexandria database.

Summary:
E_form (uncorrected): -0.24 eV/atom

Geometry as CIF:
```
data_VB6N6
_chemical_formula_sum 'V1 B6 N6'
_cell_length_a 4.556
_cell_length_b 4.556
_cell_length_c 4.556
_cell_angle_alpha 90.00
_cell_angle_beta 90.00
_cell_angle_gamma 90.00
_symmetry_space_group_name_H-M 'P m -3'
_symmetry_Int_Tables_number 200
_symmetry_space_group_name_Hall '-P 2 2 3'
loop_
_atom_site_label
_atom_site_type_symbol
_atom_site_fract_x
_atom_site_fract_y
_atom_site_fract_z
V1 V 0.000 0.000 0.000
B1 B 0.000 0.244 0.500
N1 N 0.000 0.500 0.252
```

The following is a PBE-GGA calculation of a relaxed KNaSi crystal, from the Alexandria database.

Summary:
Energy relative to the lowest polymorph listed for this composition: 0.045 eV per atom
E_form (uncorrected): 0.09 eV/atom

Geometry as CIF:
```
data_KNaSi
_chemical_formula_sum 'K4 Na4 Si4'
_cell_length_a 11.589
_cell_length_b 5.178
_cell_length_c 8.579
_cell_angle_alpha 90.00
_cell_angle_beta 128.84
_cell_angle_gamma 90.00
_symmetry_space_group_name_H-M 'C 1 2/m 1'
_symmetry_Int_Tables_number 12
loop_
_symmetry_equiv_pos_as_xyz
'x,y,z'
'-x,-y,-z'
'-x,y,-z'
'x,-y,z'
'x+1/2,y+1/2,z'
'-x+1/2,-y+1/2,-z'
'-x+1/2,y+1/2,-z'
'x+1/2,-y+1/2,z'
loop_
_atom_site_label
_atom_site_type_symbol
_atom_site_fract_x
_atom_site_fract_y
_atom_site_fract_z
K1 K 0.093 0.000 0.346
Na1 Na 0.204 0.500 0.089
Si1 Si 0.106 0.500 0.660
```

Please write out number 1 again, unchanged.
The following is a PBE-GGA calculation of a relaxed CeGa6Mo crystal, from the Alexandria database.

Summary:
DFT formation energy: -20 kJ per mole of atoms

Geometry as CIF:
```
data_CeGa6Mo
_chemical_formula_sum 'Ce2 Ga12 Mo2'
_cell_length_a 5.235
_cell_length_b 9.074
_cell_length_c 6.127
_cell_angle_alpha 90.00
_cell_angle_beta 90.10
_cell_angle_gamma 90.00
_symmetry_space_group_name_H-M 'C 1 2/m 1'
_symmetry_Int_Tables_number 12
loop_
_symmetry_equiv_pos_as_xyz
'x,y,z'
'-x,-y,-z'
'-x,y,-z'
'x,-y,z'
'x+1/2,y+1/2,z'
'-x+1/2,-y+1/2,-z'
'-x+1/2,y+1/2,-z'
'x+1/2,-y+1/2,z'
loop_
_atom_site_label
_atom_site_type_symbol
_atom_site_fract_x
_atom_site_fract_y
_atom_site_fract_z
Ce1 Ce 0.000 0.000 0.000
Ga1 Ga 0.000 0.500 0.277
Ga2 Ga 0.250 0.250 0.277
Mo1 Mo 0.000 0.000 0.500
```